No. 1
Ba4TaAs4: optimized geometry, PBE-GGA.

Values from the calculation:
Fermi-level density of states: 8.51 states/eV per cell
Formation energy from the elements: -0.9427 eV per atom
Magnetic moment: 0.8 μB/f.u.
Symmetry: P4_2/nmc, No. 137

abc: 6.9896 9.5408 9.5408
angles: 90.00 90.00 90.00
Last column: nearest neighbours and their distance in Å.
Fractional positions:
1 As 0.3008 0.4999 0.2810  1 Ta 2.51
2 As 0.1992 0.0001 0.2190  1 Ta 2.51
3 As 0.3008 0.5001 0.7190  1 Ta 2.51
4 As 0.8008 0.2190 0.9999  1 Ta 2.51
5 As 0.8008 0.7810 0.0001  1 Ta 2.51
6 As 0.6992 0.2810 0.5001  1 Ta 2.51
7 As 0.1992 0.9999 0.7810  1 Ta 2.51
8 As 0.6992 0.7190 0.4999  1 Ta 2.51
9 Ta 0.0000 0.0000 0.0000  4 As 2.51
10 Ta 0.5000 0.5000 0.5000  4 As 2.51
11 Ba 0.1781 0.7789 0.4999  6 As 3.40-3.69, 1 Ta 3.48
12 Ba 0.6781 0.9999 0.7211  6 As 3.40-3.69, 1 Ta 3.48
13 Ba 0.8219 0.4999 0.2211  6 As 3.40-3.69, 1 Ta 3.48
14 Ba 0.3219 0.7211 0.0001  6 As 3.40-3.69, 1 Ta 3.48
15 Ba 0.1781 0.2211 0.5001  6 As 3.40-3.69, 1 Ta 3.48
16 Ba 0.8219 0.5001 0.7789  6 As 3.40-3.69, 1 Ta 3.48
17 Ba 0.6781 0.0001 0.2789  6 As 3.40-3.69, 1 Ta 3.48
18 Ba 0.3219 0.2789 0.9999  6 As 3.40-3.69, 1 Ta 3.48


No. 2
Ba2TaAs: optimized geometry, PBE-GGA.

Values from the calculation:
Fermi-level density of states: 2.88 states/eV per cell
Formation energy from the elements: 0.0061 eV per atom
Magnetic moment: 0.0 μB/f.u.
Symmetry: P4mm, No. 99

abc: 3.6643 3.6643 9.8089
angles: 90.00 90.00 90.00
Last column: nearest neighbours and their distance in Å.
Fractional positions:
1 Ba 0.0000 0.0000 0.9138  1 Ta 3.21, 4 As 3.53
2 Ba 0.5000 0.5000 0.3306  1 As 3.32, 4 Ta 3.61, 4 Ba 3.66
3 As 0.5000 0.5000 0.6686  4 Ta 2.71
4 Ta 0.0000 0.0000 0.5870  4 As 2.71


No. 3
Ba2TaAs: optimized geometry, PBE-GGA.

Values from the calculation:
Fermi-level density of states: 2.75 states/eV per cell
Formation energy from the elements: 0.6465 eV per atom
Magnetic moment: 4.0 μB/f.u.
Symmetry: C2/m, No. 12

abc: 4.4639 4.4639 9.6425
angles: 76.91 76.91 59.39
Last column: nearest neighbours and their distance in Å.
Fractional positions:
1 Ta 0.7500 0.7500 0.7500  6 Ba 3.76-3.77
2 Ba 0.5154 0.5154 0.4545  3 As 3.20
3 Ba 0.9846 0.9846 0.0455  3 As 3.20
4 As 0.2500 0.2500 0.2500  6 Ba 3.20